No. 1
## Pr2GdIn3PtAu2 (PBE-GGA)

Data for crystalline Pr2GdIn3PtAu2 at its relaxed geometry.

Lattice parameters (Å, degrees): 4.0603 7.8481 7.8481 119.96 90.00 90.00
Atoms (fractional coordinates):
In 0.5000 0.2519 0.0018
In 0.5000 0.0018 0.2519
In 0.5000 0.7487 0.7487
Pr 0.0000 0.5948 0.9997
Pr 0.0000 0.9997 0.5948
Au 0.5000 0.3357 0.6604
Au 0.5000 0.6604 0.3357
Pt 0.0000 0.0048 0.0048
Gd 0.0000 0.4022 0.4022

Calculated values
* DFT total energy: -4.701 eV per atom
* M_tot: 0.00 μB per formula unit

---

No. 2
## PrGd2In3PtAu2 (PBE-GGA)

Data for crystalline PrGd2In3PtAu2 at its relaxed geometry.

Lattice parameters (Å, degrees): 4.0181 7.7916 7.7916 120.07 90.00 90.00
Atoms (fractional coordinates):
Pt 0.0000 0.9956 0.9956
In 0.5000 0.9986 0.2524
In 0.5000 0.2524 0.9986
In 0.5000 0.7472 0.7472
Gd 0.0000 0.0004 0.5981
Gd 0.0000 0.5981 0.0004
Au 0.5000 0.3312 0.6719
Au 0.5000 0.6719 0.3312
Pr 0.0000 0.4047 0.4047

Calculated values
* DFT total energy: -4.698 eV per atom
* M_tot: 0.00 μB per formula unit